[1]
Entry from Alexandria: NaTe2W after structural relaxation (GGA-PBE).

Calculated values
**VASP energy**: -4.828 eV per atom
**Energy relative to the lowest polymorph listed for this composition**: 0.242 eV per atom
**Space group**: Fm-3m
**DOS(E_F)**: 4.004 states/eV per cell

Structure (POSCAR):
```
NaTe2W
1.0
0.0000 3.4787 3.4787
3.4787 0.0000 3.4787
3.4787 3.4787 0.0000
Na Te W
1 2 1
Direct
0.0000 0.0000 0.0000
0.2500 0.2500 0.2500
0.7500 0.7500 0.7500
0.5000 0.5000 0.5000
```

[2]
Entry from Alexandria: HfHg2Pb after structural relaxation (GGA-PBE).

Calculated values
**VASP energy**: -3.348 eV per atom
**Space group**: I-42d
**DOS(E_F)**: 1.702 states/eV per cell
**E_form**: 0.22 eV per atom

Structure (POSCAR):
```
HfHg2Pb
1.0
-4.1037 4.1037 3.0202
4.1037 -4.1037 3.0202
4.1037 4.1037 -3.0202
Hf Hg Pb
2 4 2
Direct
0.0000 0.0000 0.0000
0.7500 0.2500 0.5000
0.1086 0.6250 0.9836
0.3750 0.3586 0.4836
0.6414 0.1250 0.0164
0.8750 0.8914 0.5164
0.2500 0.7500 0.5000
0.5000 0.5000 0.0000
```

[3]
Entry from Alexandria: Pr6As3P2Cl after structural relaxation (GGA-PBE).

Calculated values
**VASP energy**: -6.170 eV per atom
**Space group**: C2/m
**DOS(E_F)**: 4.235 states/eV per cell

Structure (POSCAR):
```
Pr6As3P2Cl
1.0
9.2584 -2.1250 0.0000
9.2584 2.1250 0.0000
-1.9089 0.0000 8.3192
Pr As P Cl
6 3 2 1
Direct
0.0031 0.0031 0.2666
0.3274 0.3274 0.9064
0.3310 0.3310 0.4209
0.6690 0.6690 0.5791
0.6726 0.6726 0.0936
0.9969 0.9969 0.7334
0.1636 0.1636 0.8355
0.5000 0.5000 0.5000
0.8364 0.8364 0.1645
0.1659 0.1659 0.3309
0.8341 0.8341 0.6691
0.5000 0.5000 0.0000
```